1.
This record from Alexandria describes an optimized crystal structure of Ru4Br. The functional is PBE-GGA.

Properties
* ρ: 8.8 g cm⁻³
* DOS at the Fermi energy: 9.8 states/eV per cell
* size of the total moment: 4.42 μB per formula unit
* formation energy from raw total energies: 1.89 eV/atom
* symmetry: Pm-3m (221)

Unit cell a=4.508 b=4.508 c=4.508 alpha=90.00 beta=90.00 gamma=90.00
Positions (direct):
Ru1 0.000 0.000 0.000
Ru2 0.000 0.500 0.500
Ru3 0.500 0.000 0.500
Ru4 0.500 0.500 0.000
Br1 0.500 0.500 0.500

***

2.
This record from Alexandria describes an optimized crystal structure of BeAg2Pt. The functional is PBE-GGA.

Properties
* ρ: 12.0 g cm⁻³
* DOS at the Fermi energy: 1.4 states/eV per cell
* formation energy: 0.3 eV/f.u.
* size of the total moment: 0.00 μB per formula unit
* symmetry: P4/mmm (123)

Unit cell a=2.896 b=2.896 c=6.950 alpha=90.00 beta=90.00 gamma=90.00
Positions (direct):
Be1 0.000 0.000 0.000
Ag1 0.500 0.500 0.212
Ag2 0.500 0.500 0.788
Pt1 0.000 0.000 0.500

***

3.
This record from Alexandria describes an optimized crystal structure of RbBa2NiH8. The functional is PBE-GGA.

Properties
* electronic total energy: -40.74 eV/f.u.
* ρ: 4.0 g cm⁻³
* DOS at the Fermi energy: 4.1 states/eV per cell
* size of the total moment: 0.00 μB per formula unit
* symmetry: P-3m1 (164)

Unit cell a=5.174 b=5.174 c=7.680 alpha=90.00 beta=90.00 gamma=120.00
Positions (direct):
Rb1 0.000 0.000 0.000
Ba1 0.333 0.667 0.293
Ba2 0.667 0.333 0.707
Ni1 0.000 0.000 0.500
H1 0.146 0.292 0.612
H2 0.146 0.854 0.612
H3 0.292 0.146 0.388
H4 0.333 0.667 0.937
H5 0.667 0.333 0.063
H6 0.708 0.854 0.612
H7 0.854 0.146 0.388
H8 0.854 0.708 0.388

***

4.
This record from Alexandria describes an optimized crystal structure of DyLuGaAg. The functional is PBE-GGA.

Properties
* ρ: 9.4 g cm⁻³
* DOS at the Fermi energy: 2.4 states/eV per cell
* formation energy: -1.9 eV/f.u.
* size of the total moment: 0.00 μB per formula unit
* symmetry: F-43m (216)

Unit cell a=5.057 b=5.057 c=5.057 alpha=60.00 beta=60.00 gamma=60.00
Positions (direct):
Dy1 0.000 0.000 0.000
Lu1 0.500 0.500 0.500
Ga1 0.250 0.250 0.250
Ag1 0.750 0.750 0.750

***

5.
This record from Alexandria describes an optimized crystal structure of MnGaBr6. The functional is PBE-GGA.

Properties
* ρ: 4.4 g cm⁻³
* size of the total moment: 3.96 μB per formula unit
* formation energy from raw total energies: -0.56 eV/atom
* symmetry: P-1 (2)

Unit cell a=6.488 b=6.560 c=6.850 alpha=66.37 beta=63.00 gamma=63.89
Positions (direct):
Mn1 0.000 0.000 0.000
Ga1 0.500 0.500 0.500
Br1 0.084 0.759 0.758
Br2 0.273 0.577 0.269
Br3 0.380 0.092 0.764
Br4 0.620 0.908 0.236
Br5 0.727 0.423 0.731
Br6 0.916 0.241 0.242

***

6.
This record from Alexandria describes an optimized crystal structure of U2TcGe. The functional is PBE-GGA.

Properties
* ρ: 13.8 g cm⁻³
* DOS at the Fermi energy: 6.4 states/eV per cell
* formation energy: -0.6 eV/f.u.
* size of the total moment: 3.10 μB per formula unit
* symmetry: P4/mmm (123)

Unit cell a=3.710 b=3.710 c=5.665 alpha=90.00 beta=90.00 gamma=90.00
Positions (direct):
U1 0.000 0.000 0.242
U2 0.000 0.000 0.758
Tc1 0.500 0.500 0.500
Ge1 0.500 0.500 0.000

***

7.
This record from Alexandria describes an optimized crystal structure of CdTe2IrI. The functional is PBE-GGA.

Properties
* ρ: 7.3 g cm⁻³
* DOS at the Fermi energy: 5.8 states/eV per cell
* size of the total moment: 0.00 μB per formula unit
* formation energy from raw total energies: 0.39 eV/atom
* symmetry: P4/mmm (123)

Unit cell a=5.266 b=5.266 c=5.604 alpha=90.00 beta=90.00 gamma=90.00
Positions (direct):
Cd1 0.000 0.000 0.000
Te1 0.000 0.500 0.500
Te2 0.500 0.000 0.500
Ir1 0.500 0.500 0.500
I1 0.500 0.500 0.000

***

8.
This record from Alexandria describes an optimized crystal structure of MnC2Br4. The functional is PBE-GGA.

Properties
* ρ: 2.5 g cm⁻³
* DOS at the Fermi energy: 2.2 states/eV per cell
* size of the total moment: 7.01 μB per formula unit
* formation energy from raw total energies: 1.20 eV/atom
* symmetry: I4/mmm (139)

Unit cell a=10.998 b=10.998 c=10.998 alpha=153.55 beta=153.55 gamma=37.76
Positions (direct):
Mn1 0.000 0.000 0.000
C1 0.297 0.297 0.000
C2 0.703 0.703 0.000
Br1 0.000 0.500 0.500
Br2 0.210 0.210 0.000
Br3 0.500 0.000 0.500
Br4 0.790 0.790 0.000

***

9.
This record from Alexandria describes an optimized crystal structure of HoNbFe4. The functional is PBE-GGA.

Properties
* ρ: 9.2 g cm⁻³
* DOS at the Fermi energy: 3.9 states/eV per cell
* formation energy: -0.5 eV/f.u.
* size of the total moment: 6.15 μB per formula unit
* symmetry: F-43m (216)

Unit cell a=4.979 b=4.979 c=4.979 alpha=60.00 beta=60.00 gamma=60.00
Positions (direct):
Ho1 0.000 0.000 0.000
Nb1 0.750 0.750 0.750
Fe1 0.376 0.376 0.376
Fe2 0.376 0.376 0.873
Fe3 0.376 0.873 0.376
Fe4 0.873 0.376 0.376

***

10.
This record from Alexandria describes an optimized crystal structure of AcTb2Y5Ho. The functional is PBE-GGA.

Properties
* ρ: 6.2 g cm⁻³
* DOS at the Fermi energy: 25.8 states/eV per cell
* formation energy: 1.4 eV/f.u.
* size of the total moment: 0.00 μB per formula unit
* symmetry: Cmc2_1 (36)

Unit cell a=12.253 b=12.253 c=9.373 alpha=90.00 beta=90.00 gamma=153.72
Positions (direct):
Ac1 0.103 0.897 0.500
Ac2 0.897 0.103 0.000
Tb1 0.331 0.669 0.752
Tb2 0.386 0.614 0.351
Tb3 0.614 0.386 0.851
Tb4 0.669 0.331 0.252
Y1 0.024 0.976 0.818
Y2 0.105 0.895 0.100
Y3 0.191 0.809 0.797
Y4 0.243 0.757 0.438
Y5 0.492 0.508 0.590
Y6 0.508 0.492 0.090
Y7 0.757 0.243 0.938
Y8 0.809 0.191 0.297
Y9 0.895 0.105 0.600
Y10 0.976 0.024 0.318
Ho1 0.260 0.740 0.109
Ho2 0.740 0.260 0.609

***

11.
This record from Alexandria describes an optimized crystal structure of KMg2Sb. The functional is PBE-GGA.

Properties
* ρ: 2.9 g cm⁻³
* DOS at the Fermi energy: 1.5 states/eV per cell
* size of the total moment: 0.00 μB per formula unit
* formation energy from raw total energies: -0.04 eV/atom
* symmetry: Immm (71)

Unit cell a=6.034 b=6.034 c=6.034 alpha=136.30 beta=126.61 gamma=71.38
Positions (direct):
K1 0.000 0.000 0.000
Mg1 0.285 0.785 0.500
Mg2 0.715 0.215 0.500
Sb1 0.500 0.500 0.000

***

12.
This record from Alexandria describes an optimized crystal structure of CuTeAs2. The functional is PBE-GGA.

Properties
* ρ: 6.8 g cm⁻³
* DOS at the Fermi energy: 2.2 states/eV per cell
* size of the total moment: 0.00 μB per formula unit
* formation energy from raw total energies: 0.49 eV/atom
* symmetry: Cmmm (65)

Unit cell a=4.769 b=4.769 c=3.831 alpha=90.00 beta=90.00 gamma=108.18
Positions (direct):
Cu1 0.000 0.000 0.000
Te1 0.500 0.500 0.000
As1 0.000 0.500 0.500
As2 0.500 0.000 0.500

***

13.
This record from Alexandria describes an optimized crystal structure of CrMoRh2. The functional is PBE-GGA.

Properties
* ρ: 10.3 g cm⁻³
* DOS at the Fermi energy: 5.0 states/eV per cell
* formation energy: 0.2 eV/f.u.
* size of the total moment: 0.00 μB per formula unit
* symmetry: R3m (160)

Unit cell a=8.994 b=8.994 c=8.994 alpha=17.41 beta=17.41 gamma=17.41
Positions (direct):
Cr1 0.000 0.000 0.000
Mo1 0.245 0.245 0.245
Rh1 0.497 0.497 0.497
Rh2 0.740 0.740 0.740

***

14.
This record from Alexandria describes an optimized crystal structure of SrTeO4. The functional is PBE-GGA.

Properties
* ρ: 5.2 g cm⁻³
* size of the total moment: 0.00 μB per formula unit
* formation energy from raw total energies: -1.72 eV/atom
* symmetry: C2/c (15)

Unit cell a=6.887 b=6.887 c=5.051 alpha=107.84 beta=107.84 gamma=114.72
Positions (direct):
Sr1 0.151 0.849 0.750
Sr2 0.849 0.151 0.250
Te1 0.414 0.586 0.250
Te2 0.586 0.414 0.750
O1 0.149 0.539 0.314
O2 0.265 0.344 0.792
O3 0.344 0.265 0.292
O4 0.461 0.851 0.186
O5 0.539 0.149 0.814
O6 0.656 0.735 0.708
O7 0.735 0.656 0.208
O8 0.851 0.461 0.686

***

15.
This record from Alexandria describes an optimized crystal structure of NpS2Br5. The functional is PBE-GGA.

Properties
* ρ: 3.5 g cm⁻³
* DOS at the Fermi energy: 7.9 states/eV per cell
* size of the total moment: 4.02 μB per formula unit
* formation energy from raw total energies: -0.67 eV/atom
* symmetry: P-1 (2)

Unit cell a=5.686 b=7.572 c=8.689 alpha=101.37 beta=102.83 gamma=109.12
Positions (direct):
Np1 0.000 0.000 0.000
S1 0.428 0.864 0.464
S2 0.572 0.136 0.536
Br1 0.058 0.277 0.839
Br2 0.234 0.282 0.296
Br3 0.500 0.000 0.000
Br4 0.766 0.718 0.704
Br5 0.942 0.723 0.161

***

16.
This record from Alexandria describes an optimized crystal structure of Cr2PRh. The functional is PBE-GGA.

Properties
* ρ: 7.8 g cm⁻³
* DOS at the Fermi energy: 4.7 states/eV per cell
* formation energy: -0.8 eV/f.u.
* size of the total moment: 0.54 μB per formula unit
* symmetry: Amm2 (38)

Unit cell a=3.628 b=5.279 c=5.279 alpha=29.98 beta=90.00 gamma=90.00
Positions (direct):
Cr1 0.000 0.000 0.000
Cr2 0.500 0.363 0.363
P1 0.500 0.589 0.589
Rh1 0.000 0.736 0.736

***

17.
This record from Alexandria describes an optimized crystal structure of Ba2AcThSe6. The functional is PBE-GGA.

Properties
* ρ: 5.6 g cm⁻³
* DOS at the Fermi energy: 26.2 states/eV per cell
* size of the total moment: 0.00 μB per formula unit
* formation energy from raw total energies: -1.76 eV/atom
* symmetry: P2_1/c (14)

Unit cell a=7.865 b=8.312 c=13.398 alpha=90.00 beta=125.33 gamma=90.00
Positions (direct):
Ba1 0.219 0.075 0.247
Ba2 0.219 0.425 0.747
Ba3 0.781 0.575 0.253
Ba4 0.781 0.925 0.753
Ac1 0.000 0.000 0.500
Ac2 0.000 0.500 0.000
Th1 0.500 0.000 0.000
Th2 0.500 0.500 0.500
Se1 0.143 0.195 0.935
Se2 0.143 0.305 0.435
Se3 0.239 0.712 0.928
Se4 0.239 0.788 0.428
Se5 0.392 0.055 0.758
Se6 0.392 0.445 0.258
Se7 0.608 0.555 0.742
Se8 0.608 0.945 0.242
Se9 0.761 0.212 0.572
Se10 0.761 0.288 0.072
Se11 0.857 0.695 0.565
Se12 0.857 0.805 0.065

***

18.
This record from Alexandria describes an optimized crystal structure of Ho7Tm2Al2. The functional is PBE-GGA.

Properties
* ρ: 7.7 g cm⁻³
* DOS at the Fermi energy: 13.5 states/eV per cell
* formation energy: 2.0 eV/f.u.
* size of the total moment: 0.00 μB per formula unit
* symmetry: Cmmm (65)

Unit cell a=6.563 b=6.563 c=8.951 alpha=90.00 beta=90.00 gamma=119.55
Positions (direct):
Ho1 0.000 0.000 0.000
Ho2 0.000 0.500 0.288
Ho3 0.000 0.500 0.712
Ho4 0.500 0.000 0.288
Ho5 0.500 0.000 0.712
Ho6 0.500 0.500 0.180
Ho7 0.500 0.500 0.820
Tm1 0.245 0.245 0.500
Tm2 0.755 0.755 0.500
Al1 0.270 0.730 0.000
Al2 0.730 0.270 0.000

***

19.
This record from Alexandria describes an optimized crystal structure of Pm2Sc2Bi2As. The functional is PBE-GGA.

Properties
* ρ: 7.1 g cm⁻³
* DOS at the Fermi energy: 6.1 states/eV per cell
* formation energy: -5.5 eV/f.u.
* size of the total moment: 0.00 μB per formula unit
* symmetry: I4/mmm (139)

Unit cell a=9.020 b=9.020 c=9.020 alpha=148.17 beta=148.17 gamma=45.63
Positions (direct):
Pm1 0.172 0.172 0.000
Pm2 0.828 0.828 0.000
Sc1 0.000 0.500 0.500
Sc2 0.500 0.000 0.500
Bi1 0.368 0.368 0.000
Bi2 0.632 0.632 0.000
As1 0.000 0.000 0.000

***

20.
This record from Alexandria describes an optimized crystal structure of ReSiW2. The functional is PBE-GGA.

Properties
* ρ: 16.3 g cm⁻³
* DOS at the Fermi energy: 1.9 states/eV per cell
* size of the total moment: 0.00 μB per formula unit
* formation energy from raw total energies: -0.04 eV/atom
* symmetry: Immm (71)

Unit cell a=5.154 b=5.154 c=5.154 alpha=144.56 beta=131.18 gamma=61.76
Positions (direct):
Re1 0.000 0.000 0.000
Si1 0.500 0.500 0.000
W1 0.252 0.752 0.500
W2 0.748 0.248 0.500

***

21.
This record from Alexandria describes an optimized crystal structure of Nd8Ge3I4Br. The functional is PBE-GGA.

Properties
* ρ: 6.5 g cm⁻³
* DOS at the Fermi energy: 7.7 states/eV per cell
* size of the total moment: 0.00 μB per formula unit
* formation energy from raw total energies: -1.02 eV/atom
* symmetry: R-3m (166)

Unit cell a=9.142 b=9.142 c=9.142 alpha=57.09 beta=57.09 gamma=57.09
Positions (direct):
Nd1 0.216 0.742 0.742
Nd2 0.233 0.233 0.233
Nd3 0.258 0.258 0.784
Nd4 0.258 0.784 0.258
Nd5 0.742 0.216 0.742
Nd6 0.742 0.742 0.216
Nd7 0.767 0.767 0.767
Nd8 0.784 0.258 0.258
Ge1 0.000 0.000 0.500
Ge2 0.000 0.500 0.000
Ge3 0.500 0.000 0.000
I1 0.000 0.000 0.000
I2 0.000 0.500 0.500
I3 0.500 0.000 0.500
I4 0.500 0.500 0.000
Br1 0.500 0.500 0.500

***

22.
This record from Alexandria describes an optimized crystal structure of LiZr2HgH. The functional is PBE-GGA.

Properties
* electronic total energy: -23.76 eV/f.u.
* ρ: 7.9 g cm⁻³
* DOS at the Fermi energy: 4.5 states/eV per cell
* size of the total moment: 0.00 μB per formula unit
* symmetry: P4/mmm (123)

Unit cell a=4.354 b=4.354 c=4.344 alpha=90.00 beta=90.00 gamma=90.00
Positions (direct):
Li1 0.000 0.000 0.000
Zr1 0.000 0.500 0.500
Zr2 0.500 0.000 0.500
Hg1 0.500 0.500 0.000
H1 0.000 0.000 0.500

***

23.
This record from Alexandria describes an optimized crystal structure of Pa2Bi3Pb. The functional is PBE-GGA.

Properties
* ρ: 12.0 g cm⁻³
* DOS at the Fermi energy: 5.7 states/eV per cell
* formation energy: -0.9 eV/f.u.
* size of the total moment: 0.27 μB per formula unit
* symmetry: P-4m2 (115)

Unit cell a=4.466 b=4.466 c=8.997 alpha=90.00 beta=90.00 gamma=90.00
Positions (direct):
Pa1 0.000 0.500 0.219
Pa2 0.500 0.000 0.781
Bi1 0.000 0.500 0.857
Bi2 0.500 0.000 0.143
Bi3 0.500 0.500 0.500
Pb1 0.000 0.000 0.500

***

24.
This record from Alexandria describes an optimized crystal structure of TbTm3Ru2. The functional is PBE-GGA.

Properties
* ρ: 10.3 g cm⁻³
* DOS at the Fermi energy: 4.0 states/eV per cell
* formation energy: -2.4 eV/f.u.
* size of the total moment: 0.00 μB per formula unit
* symmetry: Pmc2_1 (26)

Unit cell a=4.276 b=8.769 c=7.444 alpha=90.00 beta=90.00 gamma=90.00
Positions (direct):
Tb1 0.000 0.083 0.000
Tb2 0.000 0.917 0.500
Tm1 0.000 0.319 0.627
Tm2 0.000 0.681 0.127
Tm3 0.500 0.185 0.332
Tm4 0.500 0.418 0.958
Tm5 0.500 0.582 0.458
Tm6 0.500 0.815 0.832
Ru1 0.000 0.369 0.236
Ru2 0.000 0.631 0.736
Ru3 0.500 0.134 0.723
Ru4 0.500 0.866 0.223